An optimized crystal structure of Tm12Tl6Pb, computed with PBE.

a = 8.7974 Å, b = 8.7974 Å, c = 8.7974 Å
α = 100.61°, β = 100.61°, γ = 100.61°
Positions (direct):
1 Tm 0.0613 0.9328 0.3289
2 Tm 0.0672 0.6711 0.9387
3 Tm 0.1760 0.4286 0.5680
4 Tm 0.3289 0.0613 0.9328
5 Tm 0.4286 0.5680 0.1760
6 Tm 0.4320 0.8240 0.5714
7 Tm 0.5680 0.1760 0.4286
8 Tm 0.5714 0.4320 0.8240
9 Tm 0.6711 0.9387 0.0672
10 Tm 0.8240 0.5714 0.4320
11 Tm 0.9328 0.3289 0.0613
12 Tm 0.9387 0.0672 0.6711
13 Tl 0.1400 0.6095 0.3021
14 Tl 0.3021 0.1400 0.6095
15 Tl 0.3905 0.6979 0.8600
16 Tl 0.6095 0.3021 0.1400
17 Tl 0.6979 0.8600 0.3905
18 Tl 0.8600 0.3905 0.6979
19 Pb 0.0000 0.0000 0.0000

Output
density	9.0	g cm⁻³
E_form	0.020	eV/atom

An optimized crystal structure of KDyTlF6, computed with PBE.

a = 6.3220 Å, b = 6.3220 Å, c = 10.3531 Å
α = 90.00°, β = 90.00°, γ = 120.00°
Positions (direct):
1 K 0.0000 0.0000 0.0000
2 K 0.0000 0.0000 0.5000
3 Dy 0.3333 0.6667 0.2500
4 Dy 0.6667 0.3333 0.7500
5 Tl 0.3333 0.6667 0.7500
6 Tl 0.6667 0.3333 0.2500
7 F 0.0275 0.3799 0.1384
8 F 0.0275 0.6477 0.3616
9 F 0.3523 0.3799 0.3616
10 F 0.3523 0.9725 0.1384
11 F 0.3799 0.0275 0.6384
12 F 0.3799 0.3523 0.8616
13 F 0.6201 0.6477 0.1384
14 F 0.6201 0.9725 0.3616
15 F 0.6477 0.0275 0.8616
16 F 0.6477 0.6201 0.6384
17 F 0.9725 0.3523 0.6384
18 F 0.9725 0.6201 0.8616

Output
ΔE_f (raw)	-26.86	eV/f.u.
density	4.8	g cm⁻³

An optimized crystal structure of Ga2PtRh, computed with PBE.

a = 2.9212 Å, b = 5.3377 Å, c = 8.5043 Å
α = 108.27°, β = 99.85°, γ = 90.11°
Positions (direct):
1 Ga 0.0000 0.0000 0.0000
2 Ga 0.0028 0.5028 0.0004
3 Ga 0.2370 0.6055 0.4697
4 Ga 0.7662 0.1357 0.5306
5 Pt 0.1397 0.8961 0.2795
6 Pt 0.8638 0.6162 0.7207
7 Rh 0.3949 0.1454 0.7881
8 Rh 0.6074 0.3570 0.2123

Output
density	11.7	g cm⁻³
E_form	-0.537	eV/atom

An optimized crystal structure of Cs2H5Os, computed with PBE.

a = 6.2135 Å, b = 6.2135 Å, c = 6.2135 Å
α = 117.96°, β = 117.96°, γ = 93.57°
Positions (direct):
1 Cs 0.0000 0.5000 0.5000
2 Cs 0.5000 0.0000 0.5000
3 H 0.0578 0.0578 0.6152
4 H 0.0578 0.4427 0.0000
5 H 0.4390 0.4390 0.0000
6 H 0.4427 0.0578 0.0000
7 H 0.4427 0.4427 0.3848
8 Os 0.2526 0.2526 0.0000

Output
density	4.4	g cm⁻³
calculated total energy	-0.2688	Ry/atom

Taking the records one at a time from the top gives size of the total moment values of 0.000, 0.092, 0.000, 0.125 μB per atom.